Entry 1:
Compound: Ba2TlP2
Source: the Alexandria database
Functional: PBE
Structure: relaxed

The calculation puts the energy above the lowest structure with this stoichiometry at 0 meV per atom.

It has space group P4/mbm (No. 127), with a = 8.153 Å, b = 8.153 Å, c = 4.625 Å, α = 90.00°, β = 90.00° and γ = 90.00°. The asymmetric unit holds Ba at (0.183, 0.317, 0.000), Tl at (0.000, 0.000, 0.500) and P at (0.097, 0.597, 0.500).

***

Entry 2:
Compound: Ba3Tl2P
Source: the Alexandria database
Functional: PBE
Structure: relaxed

It has space group P6_3/mmc (No. 194), with a = 8.5241 Å, b = 8.5241 Å, c = 8.2356 Å, α = 90.00°, β = 90.00° and γ = 120.00°. The asymmetric unit holds Ba at (0.1598, 0.3196, 0.2500), Tl at (0.3333, 0.6667, 0.5756) and P at (0.0000, 0.0000, 0.0000).

***

Entry 3:
Compound: BaTl2P
Source: the Alexandria database
Functional: PBE
Structure: relaxed

The calculation puts the energy above the lowest structure with this stoichiometry at 55 meV per atom.

It has space group Cmmm (No. 65), with a = 6.438 Å, b = 8.156 Å, c = 4.958 Å, α = 90.00°, β = 90.00° and γ = 90.00°. The asymmetric unit holds Ba at (0.000, 0.000, 0.000), Tl at (0.000, 0.306, 0.500) and P at (0.000, 0.500, 0.000).

***

Entry 4:
Compound: Ba2TlP2
Source: the Alexandria database
Functional: PBE
Structure: relaxed

The calculation puts the energy above the lowest structure with this stoichiometry at 391 meV per atom.

It has space group I4/mmm (No. 139), with a = 5.569 Å, b = 5.569 Å, c = 11.144 Å, α = 90.00°, β = 90.00° and γ = 90.00°. The asymmetric unit holds Ba at (0.000, 0.500, 0.250), Tl at (0.000, 0.000, 0.000) and P at (0.000, 0.000, 0.400).

***

Entry 5:
Compound: Ba3TlP
Source: the Alexandria database
Functional: PBE
Structure: relaxed

The calculation puts the energy above the lowest structure with this stoichiometry at 0 meV per atom.

It has space group P2_1/c (No. 14), with a = 10.827 Å, b = 7.823 Å, c = 11.296 Å, α = 90.00°, β = 114.68° and γ = 90.00°. The asymmetric unit holds Ba at (0.109, 0.061, 0.374), Ba at (0.209, 0.583, 0.561), Ba at (0.371, 0.098, 0.772), Tl at (0.439, 0.665, 0.926) and P at (0.077, 0.247, 0.613).

***

Entry 6:
Compound: BaTlP2
Source: the Alexandria database
Functional: PBE
Structure: relaxed

The calculation puts the energy above the lowest structure with this stoichiometry at 25 meV per atom.

It has space group Pm (No. 6), with a = 4.501 Å, b = 4.395 Å, c = 6.054 Å, α = 90.00°, β = 108.87° and γ = 90.00°. The asymmetric unit holds Ba at (0.000, 0.000, 0.000), Tl at (0.736, 0.500, 0.430), P at (0.322, 0.000, 0.603) and P at (0.404, 0.500, 0.779).

***

no.,formation energy (eV per atom)
1,-0.790
2,-0.535
3,-0.340
4,-0.399
5,-0.634
6,-0.392